# 1
Computed, not measured: crystalline Er7Pt2Au2 at its relaxed geometry at the PBE level of DFT.

Computed properties:
* energy relative to the lowest polymorph listed for this composition: 0.000 eV/atom
* E_form: -9.16 eV per formula unit
* calculated total energy: -5.430 eV/atom
* magnetic moment: 0.00 Bohr magnetons per cell

Cell: 9.334 9.334 9.334 Å, 156.58 66.03 119.25°
Atoms (fractional coordinates):
Er  0.000  0.000  0.000
Er  0.077  0.389  0.688
Er  0.112  0.747  0.365
Er  0.383  0.747  0.635
Er  0.474  0.590  0.884
Er  0.700  0.389  0.312
Er  0.707  0.590  0.116
Pt  0.336  0.092  0.244
Pt  0.847  0.092  0.756
Au  0.336  0.336  0.000
Au  0.758  0.258  0.500

***

# 2
Computed, not measured: crystalline Ho5TmSc4 at its relaxed geometry at the PBE level of DFT.

Computed properties:
* energy relative to the lowest polymorph listed for this composition: 0.000 eV/atom
* E_form: 0.50 eV per formula unit
* calculated total energy: -5.219 eV/atom
* magnetic moment: 0.00 Bohr magnetons per cell

Cell: 8.260 8.260 10.897 Å, 108.17 108.17 23.71°
Atoms (fractional coordinates):
Ho  0.000  0.000  0.000
Ho  0.287  0.287  0.880
Ho  0.310  0.310  0.423
Ho  0.690  0.690  0.577
Ho  0.713  0.713  0.120
Tm  0.000  0.000  0.500
Sc  0.103  0.103  0.296
Sc  0.419  0.419  0.209
Sc  0.581  0.581  0.791
Sc  0.897  0.897  0.704